# 1
# NdSm2ReN4, optimized geometry, DFT PBE
# spin magnetization: 0.0 μB/cell
# raw formation energy: -0.926 eV per atom
# calculated density: 9.11 g/cm3
# total energy: -8.420 eV per atom
data_NdSm2ReN4
_space_group_name_H-M_alt 'C m c m'
_space_group_IT_number 63
_space_group_name_Hall '-C 2c 2'
_cell_length_a 3.516
_cell_length_b 11.956
_cell_length_c 11.918
_cell_angle_alpha 90.00
_cell_angle_beta 90.00
_cell_angle_gamma 90.00
loop_
_atom_site_label
_atom_site_type_symbol
_atom_site_fract_x
_atom_site_fract_y
_atom_site_fract_z
Nd1 Nd 0.000 0.120 0.250
Sm1 Sm 0.000 0.368 0.039
Re1 Re 0.000 0.146 0.750
N1 N 0.000 0.000 0.000
N2 N 0.000 0.266 0.633
N3 N 0.000 0.433 0.250

=====

# 2
# SrNdReN4, optimized geometry, DFT PBE
# spin magnetization: 0.0 μB/cell
# raw formation energy: -0.844 eV per atom
# calculated density: 6.40 g/cm3
# total energy: -8.301 eV per atom
data_SrNdReN4
_space_group_name_H-M_alt 'P 1 21/m 1'
_space_group_IT_number 11
_space_group_name_Hall '-P 2yb'
_cell_length_a 6.054
_cell_length_b 5.941
_cell_length_c 7.140
_cell_angle_alpha 90.00
_cell_angle_beta 106.62
_cell_angle_gamma 90.00
loop_
_atom_site_label
_atom_site_type_symbol
_atom_site_fract_x
_atom_site_fract_y
_atom_site_fract_z
Sr1 Sr 0.215 0.250 0.425
Nd1 Nd 0.295 0.250 0.953
Re1 Re 0.248 0.750 0.185
N1 N 0.053 0.750 0.340
N2 N 0.066 0.750 0.935
N3 N 0.446 0.508 0.224

=====

# 3
# Sr2NdRe2N6, optimized geometry, DFT PBE
# spin magnetization: 3.0 μB/cell
# raw formation energy: -0.562 eV per atom
# calculated density: 6.41 g/cm3
# total energy: -8.106 eV per atom
data_Sr2NdRe2N6
_space_group_name_H-M_alt 'R -3 m'
_space_group_IT_number 166
_space_group_name_Hall '-R 3 2"'
_cell_length_a 6.1974
_cell_length_b 6.1974
_cell_length_c 18.1308
_cell_angle_alpha 90.00
_cell_angle_beta 90.00
_cell_angle_gamma 120.00
loop_
_atom_site_label
_atom_site_type_symbol
_atom_site_fract_x
_atom_site_fract_y
_atom_site_fract_z
Sr1 Sr 0.0000 0.0000 0.2054
Nd1 Nd 0.0000 0.0000 0.0000
Re1 Re 0.0000 0.0000 0.4191
N1 N 0.0016 0.5008 0.7582

=====

# 4
# SrNd2ReN4, optimized geometry, DFT PBE
# spin magnetization: 0.0 μB/cell
# raw formation energy: -0.809 eV per atom
# calculated density: 7.39 g/cm3
# total energy: -7.930 eV per atom
data_SrNd2ReN4
_space_group_name_H-M_alt 'C m c m'
_space_group_IT_number 63
_space_group_name_Hall '-C 2c 2'
_cell_length_a 3.545
_cell_length_b 12.505
_cell_length_c 12.538
_cell_angle_alpha 90.00
_cell_angle_beta 90.00
_cell_angle_gamma 90.00
loop_
_atom_site_label
_atom_site_type_symbol
_atom_site_fract_x
_atom_site_fract_y
_atom_site_fract_z
Sr1 Sr 0.000 0.063 0.250
Nd1 Nd 0.000 0.371 0.041
Re1 Re 0.000 0.191 0.750
N1 N 0.000 0.000 0.000
N2 N 0.000 0.262 0.619
N3 N 0.000 0.396 0.250

=====

# 5
# Nd2TaReN6, optimized geometry, DFT PBE
# spin magnetization: 0.0 μB/cell
# raw formation energy: -0.894 eV per atom
# calculated density: 9.64 g/cm3
# total energy: -9.273 eV per atom
data_Nd2TaReN6
_space_group_name_H-M_alt 'P 1 21/c 1'
_space_group_IT_number 14
_space_group_name_Hall '-P 2ybc'
_cell_length_a 5.635
_cell_length_b 5.680
_cell_length_c 9.738
_cell_angle_alpha 90.00
_cell_angle_beta 125.13
_cell_angle_gamma 90.00
loop_
_atom_site_label
_atom_site_type_symbol
_atom_site_fract_x
_atom_site_fract_y
_atom_site_fract_z
Nd1 Nd 0.243 0.039 0.250
Ta1 Ta 0.500 0.000 0.000
Re1 Re 0.000 0.000 0.500
N1 N 0.172 0.218 0.962
N2 N 0.240 0.710 0.962
N3 N 0.317 0.012 0.744

=====

# 6
# Tb2NdReN4, optimized geometry, DFT PBE
# spin magnetization: 0.0 μB/cell
# raw formation energy: -1.014 eV per atom
# calculated density: 9.74 g/cm3
# total energy: -8.486 eV per atom
data_Tb2NdReN4
_space_group_name_H-M_alt 'C m c m'
_space_group_IT_number 63
_space_group_name_Hall '-C 2c 2'
_cell_length_a 3.483
_cell_length_b 11.799
_cell_length_c 11.688
_cell_angle_alpha 90.00
_cell_angle_beta 90.00
_cell_angle_gamma 90.00
loop_
_atom_site_label
_atom_site_type_symbol
_atom_site_fract_x
_atom_site_fract_y
_atom_site_fract_z
Tb1 Tb 0.000 0.131 0.039
Nd1 Nd 0.000 0.381 0.250
Re1 Re 0.000 0.356 0.750
N1 N 0.000 0.063 0.250
N2 N 0.000 0.236 0.629
N3 N 0.000 0.500 0.000

=====

# 7
# Nd2ReTcN6, optimized geometry, DFT PBE
# spin magnetization: 0.0 μB/cell
# raw formation energy: -0.581 eV per atom
# calculated density: 8.91 g/cm3
# total energy: -8.811 eV per atom
data_Nd2ReTcN6
_space_group_name_H-M_alt 'P 1 21/c 1'
_space_group_IT_number 14
_space_group_name_Hall '-P 2ybc'
_cell_length_a 5.545
_cell_length_b 5.582
_cell_length_c 9.657
_cell_angle_alpha 90.00
_cell_angle_beta 125.01
_cell_angle_gamma 90.00
loop_
_atom_site_label
_atom_site_type_symbol
_atom_site_fract_x
_atom_site_fract_y
_atom_site_fract_z
Nd1 Nd 0.247 0.037 0.250
Re1 Re 0.000 0.000 0.500
Tc1 Tc 0.500 0.000 0.000
N1 N 0.182 0.214 0.969
N2 N 0.254 0.712 0.969
N3 N 0.310 0.008 0.749

=====

# 8
# Nd2ThReN5, optimized geometry, DFT PBE
# spin magnetization: 0.0 μB/cell
# raw formation energy: -0.986 eV per atom
# calculated density: 9.75 g/cm3
# total energy: -8.879 eV per atom
data_Nd2ThReN5
_space_group_name_H-M_alt 'I 4/m c m'
_space_group_IT_number 140
_space_group_name_Hall '-I 4 2c'
_cell_length_a 6.768
_cell_length_b 6.768
_cell_length_c 11.555
_cell_angle_alpha 90.00
_cell_angle_beta 90.00
_cell_angle_gamma 90.00
loop_
_atom_site_label
_atom_site_type_symbol
_atom_site_fract_x
_atom_site_fract_y
_atom_site_fract_z
Nd1 Nd 0.170 0.330 0.000
Th1 Th 0.000 0.000 0.250
Re1 Re 0.000 0.500 0.250
N1 N 0.000 0.000 0.000
N2 N 0.151 0.349 0.353

=====

# 9
# NdTh2ReN5, optimized geometry, DFT PBE
# spin magnetization: 0.0 μB/cell
# raw formation energy: -1.082 eV per atom
# calculated density: 10.55 g/cm3
# total energy: -9.269 eV per atom
data_NdTh2ReN5
_space_group_name_H-M_alt 'I 4/m c m'
_space_group_IT_number 140
_space_group_name_Hall '-I 4 2c'
_cell_length_a 6.806
_cell_length_b 6.806
_cell_length_c 11.753
_cell_angle_alpha 90.00
_cell_angle_beta 90.00
_cell_angle_gamma 90.00
loop_
_atom_site_label
_atom_site_type_symbol
_atom_site_fract_x
_atom_site_fract_y
_atom_site_fract_z
Nd1 Nd 0.000 0.000 0.250
Th1 Th 0.177 0.323 0.000
Re1 Re 0.000 0.500 0.250
N1 N 0.000 0.000 0.000
N2 N 0.147 0.353 0.360

=====

# 10
# Nd2ReWN6, optimized geometry, DFT PBE
# spin magnetization: 0.0 μB/cell
# raw formation energy: -0.788 eV per atom
# calculated density: 9.92 g/cm3
# total energy: -9.277 eV per atom
data_Nd2ReWN6
_space_group_name_H-M_alt 'P 1 21/c 1'
_space_group_IT_number 14
_space_group_name_Hall '-P 2ybc'
_cell_length_a 5.614
_cell_length_b 5.623
_cell_length_c 9.664
_cell_angle_alpha 90.00
_cell_angle_beta 125.40
_cell_angle_gamma 90.00
loop_
_atom_site_label
_atom_site_type_symbol
_atom_site_fract_x
_atom_site_fract_y
_atom_site_fract_z
Nd1 Nd 0.244 0.031 0.250
Re1 Re 0.000 0.000 0.500
W1 W 0.500 0.000 0.000
N1 N 0.184 0.222 0.964
N2 N 0.241 0.719 0.964
N3 N 0.315 0.008 0.748

=====

# 11
# NdY2ReN4, optimized geometry, DFT PBE
# spin magnetization: 0.0 μB/cell
# raw formation energy: -1.017 eV per atom
# calculated density: 7.86 g/cm3
# total energy: -8.948 eV per atom
data_NdY2ReN4
_space_group_name_H-M_alt 'C m c m'
_space_group_IT_number 63
_space_group_name_Hall '-C 2c 2'
_cell_length_a 3.475
_cell_length_b 11.763
_cell_length_c 11.664
_cell_angle_alpha 90.00
_cell_angle_beta 90.00
_cell_angle_gamma 90.00
loop_
_atom_site_label
_atom_site_type_symbol
_atom_site_fract_x
_atom_site_fract_y
_atom_site_fract_z
Nd1 Nd 0.000 0.120 0.250
Y1 Y 0.000 0.369 0.039
Re1 Re 0.000 0.144 0.750
N1 N 0.000 0.000 0.000
N2 N 0.000 0.263 0.628
N3 N 0.000 0.438 0.250

=====

# 12
# NdZn2ReN4, optimized geometry, DFT PBE
# spin magnetization: 0.0 μB/cell
# raw formation energy: -0.289 eV per atom
# calculated density: 7.77 g/cm3
# total energy: -6.922 eV per atom
data_NdZn2ReN4
_space_group_name_H-M_alt 'I 2 2 2'
_space_group_IT_number 23
_space_group_name_Hall 'I 2 2'
_cell_length_a 5.398
_cell_length_b 6.209
_cell_length_c 6.594
_cell_angle_alpha 90.00
_cell_angle_beta 90.00
_cell_angle_gamma 90.00
loop_
_atom_site_label
_atom_site_type_symbol
_atom_site_fract_x
_atom_site_fract_y
_atom_site_fract_z
Nd1 Nd 0.000 0.000 0.000
Zn1 Zn 0.000 0.500 0.300
Re1 Re 0.000 0.000 0.500
N1 N 0.199 0.165 0.332